(1)
# LaReTc2, relaxed, DFT PBEsol
# - DFT formation energy: 0.567 eV/atom
# - Calculated volume: 17.96 A^3/atom
data_LaReTc2
_chemical_formula_sum 'La1 Re1 Tc2'
_space_group_name_H-M_alt 'P 1'
_space_group_IT_number 1
_space_group_name_Hall 'P 1'
_cell_length_a 3.071
_cell_length_b 5.092
_cell_length_c 5.473
_cell_angle_alpha 117.72
_cell_angle_beta 106.29
_cell_angle_gamma 90.00
loop_
_atom_site_label
_atom_site_type_symbol
_atom_site_fract_x
_atom_site_fract_y
_atom_site_fract_z
_atom_site_occupancy
La1 La 0.500 0.000 0.000 1
Re1 Re 0.000 0.500 0.000 1
Tc1 Tc 0.719 0.719 0.438 1
Tc2 Tc 0.281 0.281 0.562 1

=====

(2)
# LaReTe2, relaxed, DFT PBEsol
# - Calculated volume: 23.83 A^3/atom
# - Energy relative to the elements, uncorrected: 1.81 eV per formula unit
data_LaReTe2
_chemical_formula_sum 'La1 Re1 Te2'
_space_group_name_H-M_alt 'P 1'
_space_group_IT_number 1
_space_group_name_Hall 'P 1'
_cell_length_a 5.128
_cell_length_b 5.128
_cell_length_c 5.128
_cell_angle_alpha 60.00
_cell_angle_beta 60.00
_cell_angle_gamma 60.00
loop_
_atom_site_label
_atom_site_type_symbol
_atom_site_fract_x
_atom_site_fract_y
_atom_site_fract_z
_atom_site_occupancy
La1 La 0.500 0.500 0.500 1
Re1 Re 0.250 0.250 0.250 1
Te1 Te 0.000 0.000 0.000 1
Te2 Te 0.750 0.750 0.750 1